## Ba2CeScSe6 (GGA-PBE)

Data for a relaxed structure of Ba2CeScSe6. Values from VASP.

Output
Formation energy (no corrections) (meV/atom): -1680.8
N(E_F) (states/eV/cell): 23.637
SG: No. 14
Energy (eV/atom): -5.383

Structure (Quantum ESPRESSO input):
```
&SYSTEM
  ibrav = 0, nat = 20, ntyp = 4
/
ATOMIC_SPECIES
Ba 137.33 Ba.upf
Ce 140.12 Ce.upf
Sc 44.96 Sc.upf
Se 78.96 Se.upf
CELL_PARAMETERS angstrom
-3.6903 -5.7011 2.7169
6.6483 -2.8597 3.0295
-1.7174 5.5706 9.0273
ATOMIC_POSITIONS crystal
Ba 0.0264 0.9274 0.2497
Ba 0.5264 0.5726 0.7497
Ba 0.9736 0.0726 0.7503
Ba 0.4736 0.4274 0.2503
Ce 0.5000 0.0000 0.0000
Ce 0.0000 0.5000 0.5000
Sc 0.5000 0.0000 0.5000
Sc 0.0000 0.5000 0.0000
Se 0.2977 0.6969 0.0372
Se 0.7977 0.8031 0.5372
Se 0.7023 0.3031 0.9628
Se 0.2023 0.1969 0.4628
Se 0.3101 0.7080 0.4611
Se 0.8101 0.7920 0.9611
Se 0.6899 0.2920 0.5389
Se 0.1899 0.2080 0.0389
Se 0.9278 0.5101 0.2430
Se 0.4278 0.9899 0.7430
Se 0.0722 0.4899 0.7570
Se 0.5722 0.0101 0.2570
```